The following is a DFT calculation (PBE) of a relaxed TlInSn2 crystal.

Output
**Crystal system**: monoclinic
**Energy relative to the elements**: 35 meV per atom
**Calculated volume**: 115.9 Å³/f.u.
**Spin magnetization**: 0.0 μB/f.u.

a b c (Å): 5.737 6.744 6.237
angles (deg): 90.00 106.10 90.00
Space group P2_1/m (No. 11)
Asymmetric unit:
Tl (0.056, 0.250, 0.159) [2 per cell]
In (0.098, 0.750, 0.369) [2 per cell]
Sn (0.437, 0.023, 0.743) [4 per cell]



The following is a DFT calculation (PBE) of a relaxed TlIn5Sn4 crystal.

Output
**Crystal system**: tetragonal
**Energy relative to the elements**: 38 meV per atom
**Calculated volume**: 277.8 Å³/f.u.
**Spin magnetization**: 0.0 μB/f.u.

a b c (Å): 3.918 3.918 18.101
angles (deg): 90.00 90.00 90.00
Space group P4/mmm (No. 123)
Asymmetric unit:
Tl (0.000, 0.000, 0.000) [1 per cell]
In (0.500, 0.500, 0.110) [2 per cell]
In (0.500, 0.500, 0.304) [2 per cell]
In (0.500, 0.500, 0.500) [1 per cell]
Sn (0.000, 0.000, 0.206) [2 per cell]
Sn (0.000, 0.000, 0.398) [2 per cell]



The following is a DFT calculation (PBE) of a relaxed Tl5In12Sn2 crystal.

Output
**Crystal system**: monoclinic
**Energy relative to the elements**: 35 meV per atom
**Calculated volume**: 549.9 Å³/f.u.
**Spin magnetization**: 0.0 μB/f.u.

a b c (Å): 18.624 10.877 5.600
angles (deg): 90.00 104.18 90.00
Space group C2/m (No. 12)
Asymmetric unit:
Tl (0.000, 0.000, 0.000) [2 per cell]
Tl (0.197, 0.000, 0.139) [4 per cell]
Tl (0.197, 0.500, 0.278) [4 per cell]
In (0.088, 0.500, 0.683) [4 per cell]
In (0.094, 0.263, 0.095) [8 per cell]
In (0.098, 0.000, 0.568) [4 per cell]
In (0.198, 0.252, 0.700) [8 per cell]
Sn (0.000, 0.251, 0.500) [4 per cell]



The following is a DFT calculation (PBE) of a relaxed Tl12In3Sn5 crystal.

Output
**Crystal system**: cubic
**Energy relative to the elements**: 204 meV per atom
**Calculated volume**: 713.6 Å³/f.u.
**Spin magnetization**: 0.0 μB/f.u.

a b c (Å): 17.872 17.872 17.872
angles (deg): 90.00 90.00 90.00
Space group Ia-3d (No. 230)
Asymmetric unit:
Tl (0.022, 0.081, 0.649) [96 per cell]
In (0.000, 0.250, 0.125) [24 per cell]
Sn (0.000, 0.000, 0.000) [16 per cell]
Sn (0.000, 0.250, 0.375) [24 per cell]



The following is a DFT calculation (PBE) of a relaxed Tl2In12Sn5 crystal.

Output
**Crystal system**: monoclinic
**Energy relative to the elements**: 43 meV per atom
**Calculated volume**: 547.9 Å³/f.u.
**Spin magnetization**: 0.0 μB/f.u.

a b c (Å): 15.515 9.470 8.006
angles (deg): 90.00 111.31 90.00
Space group C2/m (No. 12)
Asymmetric unit:
Tl (0.000, 0.186, 0.000) [4 per cell]
In (0.078, 0.500, 0.743) [4 per cell]
In (0.092, 0.283, 0.438) [8 per cell]
In (0.158, 0.000, 0.868) [4 per cell]
In (0.242, 0.213, 0.191) [8 per cell]
Sn (0.000, 0.000, 0.500) [2 per cell]
Sn (0.124, 0.500, 0.155) [4 per cell]
Sn (0.210, 0.000, 0.472) [4 per cell]



The following is a DFT calculation (PBE) of a relaxed Tl5In2Sn4 crystal.

Output
**Crystal system**: triclinic
**Energy relative to the elements**: 26 meV per atom
**Calculated volume**: 323.9 Å³/f.u.
**Spin magnetization**: 0.0 μB/f.u.

a b c (Å): 3.317 8.387 11.829
angles (deg): 89.40 86.81 80.33
Space group P-1 (No. 2)
Asymmetric unit:
Tl (0.000, 0.000, 0.000) [1 per cell]
Tl (0.195, 0.901, 0.728) [2 per cell]
Tl (0.369, 0.807, 0.451) [2 per cell]
In (0.430, 0.284, 0.821) [2 per cell]
Sn (0.072, 0.458, 0.361) [2 per cell]
Sn (0.250, 0.372, 0.090) [2 per cell]



> Look up the spin magnetization of the fourth one.

0.0 μB/f.u.



> Look up the calculated volume of the fifth one.

547.9 Å³/f.u.



> energy relative to the elements of number 3 (Tl5In12Sn2)?

35 meV per atom